A) Density functional theory data (GGA-PBE) for a geometry-optimized Mg2NF2 structure.

It has space group I4/mmm (No. 139), with a = 3.9932 Å, b = 3.9932 Å, c = 6.9387 Å, α = 90.00°, β = 90.00° and γ = 90.00°. The inequivalent atoms are Mg at (0.0000, 0.5000, 0.2500), N at (0.0000, 0.0000, 0.0000) and F at (0.0000, 0.0000, 0.3303).

---

B) Density functional theory data (GGA-PBE) for a geometry-optimized Mg2NF2 structure.

It has space group P4/mbm (No. 127), with a = 6.3640 Å, b = 6.3640 Å, c = 2.7166 Å, α = 90.00°, β = 90.00° and γ = 90.00°. The inequivalent atoms are Mg at (0.2135, 0.2865, 0.0000), N at (0.0000, 0.0000, 0.5000) and F at (0.1225, 0.6225, 0.5000).

---

Unit: eV/atom. Relative energies: A) 0.000; B) 0.155.

---

A) Density functional theory data (GGA-PBE) for a geometry-optimized MgNbNF2 structure.

It has space group P4/mmm (No. 123), with a = 4.2846 Å, b = 4.2846 Å, c = 4.0584 Å, α = 90.00°, β = 90.00° and γ = 90.00°. The inequivalent atoms are Mg at (0.0000, 0.0000, 0.0000), Nb at (0.5000, 0.5000, 0.5000), N at (0.5000, 0.5000, 0.0000) and F at (0.0000, 0.5000, 0.5000).

---

B) Density functional theory data (GGA-PBE) for a geometry-optimized MgNbNF2 structure.

It has space group P4/mmm (No. 123), with a = 3.5007 Å, b = 3.5007 Å, c = 5.2686 Å, α = 90.00°, β = 90.00° and γ = 90.00°. The inequivalent atoms are Mg at (0.0000, 0.0000, 0.0000), Nb at (0.5000, 0.5000, 0.5000), N at (0.0000, 0.0000, 0.5000) and F at (0.0000, 0.5000, 0.0000).

---

Unit: eV/atom. Relative energies: A) 0.025; B) 0.000.